Entry from Alexandria via LeMat-Bulk: a geometry-optimized ScPPt2 structure (PBE).

Cell lengths 3.462, 3.462, 5.480 Å; angles 90.00, 90.00, 90.00 degrees
Positions (direct):
Sc 0.000 0.000 0.000
P 0.000 0.000 0.500
Pt 0.500 0.500 0.255
Pt 0.500 0.500 0.745

calculated volume = 65.7 Å³/f.u.
DOS at the Fermi energy = 1.7 states/eV per cell
space group = P4/mmm, No. 123
energy of formation from the pure elements = -70 kJ/mol of atoms
total DFT energy (no corrections) = -26.73 eV for the cell shown
size of the total moment = 0.0 μB per cell